A relaxed structure of SrTaPt2. Source: Alexandria via LeMat-Bulk, functional PBE.

Cell: 6.067 6.067 6.067 Å, 43.52 43.52 43.52°
Atoms (fractional coordinates):
Pt: 0.452 0.452 0.452
Pt: 0.048 0.048 0.048
Ta: 0.750 0.750 0.750
Sr: 0.250 0.250 0.250

excess energy over the best structure of this formula in the dataset = 0.40 kcal/mol of atoms
E_form = -2.253 eV per formula unit
total energy = -27.87 eV/cell
D(E_F) = 1.197 states/eV per atom
V = 24.0 Å³ per atom